Here is an optimized crystal structure of BaBF2 from the Alexandria database. Energies are from PBE-GGA.

Calculated values
Symmetry ... I-42d
Formation energy without anion corrections ... -1215 meV per atom
Spin magnetization ... 1.0 μB/f.u.
Total DFT energy (no corrections) ... -17.203 eV/f.u.
Distance to the lowest polymorph of the same formula ... 206 meV/atom
N(E_F) ... 0.366 states/eV per atom

abc: 4.667 4.667 8.410
angles: 73.89 73.89 90.00
Fractional coordinates of all 8 atoms:
B (0.500, 0.500, 0.000)
B (0.250, 0.750, 0.500)
Ba (0.000, 0.000, 0.000)
Ba (0.750, 0.250, 0.500)
F (0.608, 0.125, 0.250)
F (0.142, 0.625, 0.250)
F (0.375, 0.392, 0.750)
F (0.875, 0.858, 0.750)